Material: BaYInC2
Method: DFT, PBE
State: optimized geometry

```
data_BaYInC2
_cell_length_a 5.1290
_cell_length_b 5.1290
_cell_length_c 5.8401
_cell_angle_alpha 90.00
_cell_angle_beta 90.00
_cell_angle_gamma 90.00
_symmetry_space_group_name_H-M 'P 4/m m m'
_symmetry_Int_Tables_number 123
_symmetry_space_group_name_Hall '-P 4 2'
loop_
_atom_site_label
_atom_site_type_symbol
_atom_site_fract_x
_atom_site_fract_y
_atom_site_fract_z
_atom_site_occupancy
Ba1 Ba 0.0000 0.0000 0.0000 1
Y1 Y 0.5000 0.5000 0.0000 1
In1 In 0.5000 0.5000 0.5000 1
C1 C 0.0000 0.5000 0.5000 1
```

Calculated values
DOS at the Fermi energy, states/eV/atom: 1.120
Energy of formation from the pure elements, eV/atom: 2.1080
Calculated volume, Å³ per cell: 153.63